YNiPbO2 | PBE+U | optimized geometry

```
data_YNiPbO2
_cell_length_a 4.3674
_cell_length_b 4.3674
_cell_length_c 6.6196
_cell_angle_alpha 90.00
_cell_angle_beta 90.00
_cell_angle_gamma 90.00
_symmetry_space_group_name_H-M 'P 4/m m m'
_symmetry_Int_Tables_number 123
_symmetry_space_group_name_Hall '-P 4 2'
loop_
_atom_site_label
_atom_site_type_symbol
_atom_site_fract_x
_atom_site_fract_y
_atom_site_fract_z
Y1 Y 0.0000 0.0000 0.0000
Ni1 Ni 0.5000 0.5000 0.0000
Pb1 Pb 0.0000 0.0000 0.5000
O1 O 0.0000 0.5000 0.5000
```

Calculated values
Energy = -4.225 eV per atom
M_tot = 1.0 Bohr magnetons per cell
Crystal system = tetragonal